Below is a geometry-optimized EuIrN2 structure, with properties calculated at the PBE level.

Properties
- Raw formation energy: -6.5 meV/atom
- Total magnetization: 19.9 μB/cell

Lattice parameters (Å, degrees): 3.8080 3.8080 17.3786 90.00 90.00 120.00
Closest atoms and distances in Å follow each position.
Space group R-3m (No. 166, hexagonal axes)
Asymmetric unit:
Eu1 0.0000 0.0000 0.0000  6 N 2.46
Ir1 0.0000 0.0000 0.5000  2 N 1.80
N1 0.0000 0.0000 0.3966  1 Ir 1.80

***

Below is a geometry-optimized Tc3HgF structure, with properties calculated at the PBE level.

Properties
- Offset from the most stable computed form: 130.68 kJ per mole of atoms
- Raw formation energy: 2295.6 meV/atom
- Total magnetization: 11.7 μB/cell

Lattice parameters (Å, degrees): 5.2486 5.2486 5.2486 90.00 90.00 90.00
Closest atoms and distances in Å follow each position.
Space group Pm-3m (No. 221)
Asymmetric unit:
Tc1 0.0000 0.0000 0.5000  2 Hg 2.62
Hg1 0.0000 0.0000 0.0000  6 Tc 2.62
F1 0.5000 0.5000 0.5000  12 Tc 3.71

***

Below is a geometry-optimized AcLa2Eu structure, with properties calculated at the PBE level.

Properties
- Offset from the most stable computed form: 0.96 kJ per mole of atoms
- Total magnetization: 7.5 μB/cell

Lattice parameters (Å, degrees): 5.3910 5.3910 5.4163 90.00 90.00 90.00
Closest atoms and distances in Å follow each position.
Space group P4/mmm (No. 123)
Asymmetric unit:
Ac1 0.0000 0.0000 0.0000  4 Eu 3.81, 8 La 3.82
La1 0.0000 0.5000 0.5000  4 La 3.81, 4 Ac 3.82, 4 Eu 3.82
Eu1 0.5000 0.5000 0.0000  4 Ac 3.81, 8 La 3.82

***

Below is a geometry-optimized Ca3LaPb2S structure, with properties calculated at the PBE level.

Properties
- Raw formation energy: -865.9 meV/atom
- Total magnetization: 0.0 μB/cell

Lattice parameters (Å, degrees): 5.2286 5.5101 16.5802 90.00 90.00 90.00
Closest atoms and distances in Å follow each position.
Space group Immm (No. 71)
Asymmetric unit:
Ca1 0.0000 0.0000 0.0000  2 S 2.61
Ca2 0.0000 0.5000 0.3231  1 S 2.93, 1 Pb 3.19
La1 0.0000 0.0000 0.5000  2 S 2.76
Pb1 0.0000 0.5000 0.1305  3 Ca 3.19-3.50, 2 La 3.39
S1 0.0000 0.5000 0.5000  2 Ca 2.61, 2 La 2.76

***

Below is a geometry-optimized KInGe structure, with properties calculated at the PBE level.

Properties
- Total magnetization: 0.0 μB/cell
- Energy: -2.813 eV per atom

Lattice parameters (Å, degrees): 5.8493 4.3323 9.3058 90.00 108.31 90.00
Closest atoms and distances in Å follow each position.
Space group Pm (No. 6)
Asymmetric unit:
K1 0.0000 0.0000 0.0000  4 Ge 3.55, 4 In 3.65
K2 0.3138 0.5000 0.6246  2 Ge 3.30, 1 In 3.54
In1 0.5126 0.5000 0.0249  2 Ge 2.78-2.79
In2 0.6862 0.0000 0.3736  4 Ge 2.82
Ge1 0.3640 0.5000 0.2813  1 Ge 2.62, 3 In 2.78-2.82
Ge2 0.9170 0.5000 0.2821  1 Ge 2.62, 3 In 2.79-2.82

***

Below is a geometry-optimized Y2TaN structure, with properties calculated at the PBE level.

Properties
- Raw formation energy: -228.4 meV/atom
- Total magnetization: 2.1 μB/cell

Lattice parameters (Å, degrees): 3.2921 3.2921 26.4003 90.00 90.00 120.00
Closest atoms and distances in Å follow each position.
Space group R-3m (No. 166, hexagonal axes)
Asymmetric unit:
Y1 0.0000 0.0000 0.1142  3 N 2.35
Ta1 0.0000 0.0000 0.0000  2 Y 3.01, 6 Ta 3.29
N1 0.0000 0.0000 0.5000  6 Y 2.35

***

Below is a geometry-optimized RbCoAs2 structure, with properties calculated at the PBE level.

Properties
- Offset from the most stable computed form: 15.36 kJ per mole of atoms
- Total magnetization: 0.0 μB/cell

Lattice parameters (Å, degrees): 7.1431 7.1431 8.8890 90.00 90.00 90.00
Closest atoms and distances in Å follow each position.
Space group I-42d (No. 122)
Asymmetric unit:
Rb1 0.0000 0.0000 0.0000  8 As 3.53-3.85
Co1 0.0000 0.0000 0.5000  4 As 2.23
As1 0.1023 0.2500 0.6250  2 Co 2.23

***

Below is a geometry-optimized Ga3CuAs structure, with properties calculated at the PBE level.

Properties
- Offset from the most stable computed form: 39.68 kJ per mole of atoms
- Total magnetization: 0.0 μB/cell

Lattice parameters (Å, degrees): 5.0064 5.0064 5.0064 90.00 90.00 90.00
Closest atoms and distances in Å follow each position.
Space group Pm-3m (No. 221)
Asymmetric unit:
Ga1 0.0000 0.0000 0.5000  2 As 2.50
Cu1 0.5000 0.5000 0.5000  12 Ga 3.54
As1 0.0000 0.0000 0.0000  6 Ga 2.50

***

Below is a geometry-optimized ScHg2H2 structure, with properties calculated at the PBE level.

Properties
- Total magnetization: 0.0 μB/cell
- Energy: -2.822 eV per atom

Lattice parameters (Å, degrees): 6.0125 6.0125 4.4231 90.00 90.00 90.00
Closest atoms and distances in Å follow each position.
Space group P4/mbm (No. 127)
Asymmetric unit:
Sc1 0.0000 0.0000 0.0000  4 H 2.13
Hg1 0.2499 0.2501 0.5000  2 H 2.21
H1 0.2490 0.2510 0.0000  2 Sc 2.13, 2 Hg 2.21

***

Below is a geometry-optimized CaFe2Pb structure, with properties calculated at the PBE level.

Properties
- Total magnetization: 5.5 μB/cell
- Energy: -5.156 eV per atom

Lattice parameters (Å, degrees): 3.2746 4.7821 5.4876 90.00 90.09 90.00
Closest atoms and distances in Å follow each position.
Space group P2/m (No. 10)
Asymmetric unit:
Ca1 0.0000 0.0000 0.0000  8 Fe 3.06-3.21, 4 Pb 3.19-3.20, 2 Ca 3.27
Fe1 0.4572 0.5000 0.2161  1 Fe 2.39
Pb1 0.5000 0.0000 0.5000  4 Fe 2.86, 4 Ca 3.19-3.20

***

Below is a geometry-optimized Fe2SiAs structure, with properties calculated at the PBE level.

Properties
- Raw formation energy: -12.9 meV/atom
- Total magnetization: 2.6 μB/cell

Lattice parameters (Å, degrees): 2.7650 2.7650 21.9158 90.00 90.00 120.00
Closest atoms and distances in Å follow each position.
Space group R-3m (No. 166, hexagonal axes)
Asymmetric unit:
Fe1 0.0000 0.0000 0.2488  3 Si 2.41, 3 As 2.45
Si1 0.0000 0.0000 0.5000  6 Fe 2.41
As1 0.0000 0.0000 0.0000  6 Fe 2.45

***

Below is a geometry-optimized Cs4Ag3Au structure, with properties calculated at the PBE level.

Properties
- Total magnetization: 0.0 μB/cell
- Energy: -1.973 eV per atom

Lattice parameters (Å, degrees): 5.1580 5.2903 13.1218 90.00 90.00 90.00
Closest atoms and distances in Å follow each position.
Space group Pmm2 (No. 25)
Asymmetric unit:
Cs1 0.0000 0.0000 0.0000  6 Ag 3.71-3.92, 1 Au 3.84
Cs2 0.0000 0.5000 0.4850  2 Au 3.65, 4 Ag 3.87
Cs3 0.5000 0.0000 0.7040  7 Ag 3.69-4.01
Cs4 0.5000 0.5000 0.2070  3 Ag 3.64-4.02, 4 Au 3.86
Ag1 0.0000 0.5000 0.8023  2 Ag 2.88
Ag2 0.5000 0.0000 0.3980  2 Au 2.92
Ag3 0.5000 0.5000 0.9006  2 Ag 2.88
Au1 0.0000 0.0000 0.2930  2 Ag 2.92

***

Below is a geometry-optimized Ac4RhI5 structure, with properties calculated at the PBE level.

Properties
- Raw formation energy: -1232.9 meV/atom
- Total magnetization: 0.0 μB/cell

Lattice parameters (Å, degrees): 21.0767 4.3850 9.7130 90.00 104.14 90.00
Closest atoms and distances in Å follow each position.
Space group C2/m (No. 12)
Asymmetric unit:
Ac1 0.0011 0.0000 0.2944  2 Rh 2.97
Ac2 0.1480 0.5000 0.5872  1 Rh 3.03, 2 I 3.39
Rh1 0.0000 0.5000 0.5000  6 Ac 2.97-3.03
I1 0.0000 0.5000 0.0000  4 Ac 3.60
I2 0.1673 0.0000 0.8603  3 Ac 3.39-3.50
I3 0.1763 0.0000 0.3325  4 Ac 3.46-3.62

***

Below is a geometry-optimized PrErGeSe structure, with properties calculated at the PBE level.

Properties
- Raw formation energy: -1364.4 meV/atom
- Total magnetization: 0.0 μB/cell

Lattice parameters (Å, degrees): 4.2037 4.2037 20.7211 90.00 90.00 120.00
Closest atoms and distances in Å follow each position.
Space group R3m (No. 160, hexagonal axes)
Asymmetric unit:
Pr1 0.0000 0.0000 0.0000  3 Ge 2.98, 3 Se 3.09
Er1 0.0000 0.0000 0.5077  3 Ge 2.89, 3 Se 2.96
Ge1 0.0000 0.0000 0.2499  3 Er 2.89, 3 Pr 2.98
Se1 0.0000 0.0000 0.7593  3 Er 2.96, 3 Pr 3.09

***

Below is a geometry-optimized FeAg2OsI structure, with properties calculated at the PBE level.

Properties
- Raw formation energy: 1656.2 meV/atom
- Total magnetization: 4.3 μB/cell

Lattice parameters (Å, degrees): 5.2463 5.2463 4.9094 90.00 90.00 90.00
Closest atoms and distances in Å follow each position.
Space group P4/mmm (No. 123)
Asymmetric unit:
Fe1 0.0000 0.0000 0.0000  8 Ag 3.59, 4 I 3.71
Ag1 0.0000 0.5000 0.5000  2 Os 2.62
Os1 0.5000 0.5000 0.5000  2 I 2.45, 4 Ag 2.62
I1 0.5000 0.5000 0.0000  2 Os 2.45

***

Below is a geometry-optimized YLu3 structure, with properties calculated at the PBE level.

Properties
- Offset from the most stable computed form: 0.02 kJ per mole of atoms
- Total magnetization: 0.0 μB/cell

Lattice parameters (Å, degrees): 3.5576 5.5251 6.1578 90.00 90.00 90.00
Closest atoms and distances in Å follow each position.
Space group Pmm2 (No. 25)
Asymmetric unit:
Y1 0.0000 0.0000 0.0000  10 Lu 3.44-3.56, 2 Y 3.56
Lu1 0.0000 0.5000 0.6629  10 Lu 3.44-3.57, 2 Y 3.46
Lu2 0.5000 0.0000 0.4985  8 Lu 3.44-3.56, 4 Y 3.55-3.56
Lu3 0.5000 0.5000 0.1661  8 Lu 3.44-3.57, 4 Y 3.44

***

Below is a geometry-optimized NaBPb3 structure, with properties calculated at the PBE level.

Properties
- Offset from the most stable computed form: 86.03 kJ per mole of atoms
- Total magnetization: 0.0 μB/cell

Lattice parameters (Å, degrees): 5.4962 5.4962 5.4962 90.00 90.00 90.00
Closest atoms and distances in Å follow each position.
Space group Pm-3m (No. 221)
Asymmetric unit:
Na1 0.0000 0.0000 0.0000  6 Pb 2.75
B1 0.5000 0.5000 0.5000  12 Pb 3.89
Pb1 0.0000 0.0000 0.5000  2 Na 2.75

***

Below is a geometry-optimized SmTh2OsN5 structure, with properties calculated at the PBE level.

Properties
- Raw formation energy: -939.5 meV/atom
- Total magnetization: 0.0 μB/cell

Lattice parameters (Å, degrees): 6.7429 6.7429 11.8883 90.00 90.00 90.00
Closest atoms and distances in Å follow each position.
Space group I4/mcm (No. 140)
Asymmetric unit:
Sm1 0.0000 0.0000 0.2500  10 N 2.91-2.97
Th1 0.1792 0.3208 0.0000  4 N 2.34-2.48
Os1 0.0000 0.5000 0.2500  4 N 1.93
N1 0.0000 0.0000 0.0000  4 Th 2.48
N2 0.1455 0.3545 0.3622  1 Os 1.93

***

Below is a geometry-optimized Hf3NbF structure, with properties calculated at the PBE level.

Properties
- Offset from the most stable computed form: 128.40 kJ per mole of atoms
- Raw formation energy: 892.6 meV/atom
- Total magnetization: 0.0 μB/cell

Lattice parameters (Å, degrees): 5.1091 5.1091 5.1091 90.00 90.00 90.00
Closest atoms and distances in Å follow each position.
Space group Pm-3m (No. 221)
Asymmetric unit:
Hf1 0.0000 0.0000 0.5000  2 Nb 2.55
Nb1 0.0000 0.0000 0.0000  6 Hf 2.55
F1 0.5000 0.5000 0.5000  12 Hf 3.61

***

Below is a geometry-optimized LaNb2Tl structure, with properties calculated at the PBE level.

Properties
- Offset from the most stable computed form: 0.00 kJ per mole of atoms
- Total magnetization: 0.0 μB/cell

Lattice parameters (Å, degrees): 7.0574 7.0574 7.0574 90.00 90.00 90.00
Closest atoms and distances in Å follow each position.
Space group Fm-3m (No. 225)
Asymmetric unit:
La1 0.0000 0.0000 0.0000  8 Nb 3.06
Nb1 0.2500 0.2500 0.2500  4 Tl 3.06, 4 La 3.06
Tl1 0.0000 0.0000 0.5000  8 Nb 3.06